Below is a geometry-optimized NaCI3 structure, with properties calculated at the GGA-PBE level.

```
NaCI3
1.0
5.257 0.000 0.000
0.000 5.257 0.000
0.000 0.000 5.257
Na C I
1 1 3
Direct
0.000 0.000 0.000
0.500 0.500 0.500
0.000 0.500 0.500
0.500 0.000 0.500
0.500 0.500 0.000
```

Summary:
Space-group type   No. 221
Total magnetization   0.00 μB/atom
Fermi-level density of states   0.397 states/eV/f.u.
Distance to the lowest polymorph of the same formula   0.000 eV per atom
Calculated density   4.753 g cm⁻³
E_form (uncorrected)   0.56 eV/atom
Total energy   -12.4 eV per formula unit


Below is a geometry-optimized Tb6Nd8Th structure, with properties calculated at the GGA-PBE level.

```
Tb6Nd8Th
1.0
4.591 2.650 7.005
-4.591 2.650 7.005
0.000 -5.301 7.005
Tb Nd Th
6 8 1
Direct
0.038 0.745 0.597
0.255 0.403 0.962
0.403 0.962 0.255
0.597 0.038 0.745
0.745 0.597 0.038
0.962 0.255 0.403
0.078 0.078 0.078
0.217 0.255 0.615
0.255 0.615 0.217
0.385 0.783 0.745
0.615 0.217 0.255
0.745 0.385 0.783
0.783 0.745 0.385
0.922 0.922 0.922
0.500 0.500 0.500
```

Summary:
Space-group type   No. 148
Total magnetization   0.00 μB/atom
Fermi-level density of states   23.042 states/eV/f.u.
Energy of formation from the pure elements   120 meV/atom
Calculated density   7.596 g cm⁻³
Total energy   -71.5 eV per formula unit


Below is a geometry-optimized KTeCl3 structure, with properties calculated at the GGA-PBE level.

```
KTeCl3
1.0
5.777 0.000 0.000
0.000 5.777 0.000
0.000 0.000 5.777
K Te Cl
1 1 3
Direct
0.000 0.000 0.000
0.500 0.500 0.500
0.000 0.000 0.500
0.000 0.500 0.000
0.500 0.000 0.000
```

Summary:
Space-group type   No. 221
Total magnetization   0.40 μB/atom
Fermi-level density of states   12.964 states/eV/f.u.
Distance to the lowest polymorph of the same formula   0.909 eV per atom
Calculated density   2.352 g cm⁻³
E_form (uncorrected)   -0.12 eV/atom
Total energy   -10.4 eV per formula unit


Below is a geometry-optimized Ce2Th3Fe2 structure, with properties calculated at the GGA-PBE level.

```
Ce2Th3Fe2
1.0
3.643 0.000 0.000
-1.815 5.843 0.000
-0.006 -2.964 8.109
Ce Th Fe
2 3 2
Direct
0.171 0.344 0.297
0.829 0.656 0.703
0.378 0.756 0.071
0.500 0.000 0.500
0.622 0.244 0.929
0.161 0.321 0.689
0.839 0.679 0.311
```

Summary:
Space-group type   No. 2
Total magnetization   0.00 μB/atom
Fermi-level density of states   11.458 states/eV/f.u.
Energy of formation from the pure elements   -49 meV/atom
Calculated density   10.467 g cm⁻³
Total energy   -51.4 eV per formula unit


Below is a geometry-optimized K3RbAg structure, with properties calculated at the GGA-PBE level.

```
K3RbAg
1.0
11.134 -6.364 0.000
11.134 6.364 0.000
-1.518 0.000 8.197
K Rb Ag
12 4 4
Direct
0.009 0.664 0.921
0.013 0.660 0.418
0.333 0.335 0.913
0.335 0.333 0.413
0.336 0.991 0.579
0.340 0.987 0.082
0.660 0.013 0.918
0.664 0.009 0.421
0.665 0.667 0.587
0.667 0.665 0.087
0.987 0.340 0.582
0.991 0.336 0.079
0.077 0.923 0.250
0.376 0.624 0.750
0.624 0.376 0.250
0.923 0.077 0.750
0.280 0.590 0.215
0.410 0.720 0.285
0.590 0.280 0.715
0.720 0.410 0.785
```

Summary:
Space-group type   No. 15
Total magnetization   0.00 μB/atom
Fermi-level density of states   2.964 states/eV/f.u.
Distance to the lowest polymorph of the same formula   0.024 eV per atom
Energy of formation from the pure elements   48 meV/atom
Calculated density   1.776 g cm⁻³
Total energy   -6.9 eV per formula unit


Below is a geometry-optimized SnTeWN2 structure, with properties calculated at the GGA-PBE level.

```
SnTeWN2
1.0
4.069 0.000 0.000
0.000 4.069 0.000
0.000 0.000 6.444
Sn Te W N
1 1 1 2
Direct
0.000 0.000 0.000
0.000 0.000 0.500
0.500 0.500 0.500
0.000 0.500 0.000
0.500 0.000 0.000
```

Summary:
Space-group type   No. 123
Total magnetization   0.36 μB/atom
Fermi-level density of states   4.219 states/eV/f.u.
Distance to the lowest polymorph of the same formula   1.465 eV per atom
Calculated density   7.132 g cm⁻³
E_form (uncorrected)   1.97 eV/atom
Total energy   -26.9 eV per formula unit


Below is a geometry-optimized SiTe2Ir structure, with properties calculated at the GGA-PBE level.

```
SiTe2Ir
1.0
-1.855 1.867 7.031
1.855 -1.867 7.031
1.855 1.867 -7.031
Si Te Ir
1 2 1
Direct
0.000 0.000 0.000
0.356 0.856 0.500
0.644 0.144 0.500
0.500 0.500 0.000
```

Summary:
Space-group type   No. 71
Total magnetization   0.00 μB/atom
Fermi-level density of states   1.802 states/eV/f.u.
Calculated density   8.106 g cm⁻³
E_form (uncorrected)   0.03 eV/atom
Total energy   -20.4 eV per formula unit


Below is a geometry-optimized ZrTiHg3 structure, with properties calculated at the GGA-PBE level.

```
ZrTiHg3
1.0
5.090 0.000 0.000
0.000 5.090 0.000
0.000 0.000 5.090
Zr Ti Hg
1 1 3
Direct
0.000 0.000 0.000
0.500 0.500 0.500
0.000 0.500 0.500
0.500 0.000 0.500
0.500 0.500 0.000
```

Summary:
Space-group type   No. 221
Total magnetization   0.28 μB/atom
Fermi-level density of states   4.280 states/eV/f.u.
Distance to the lowest polymorph of the same formula   0.000 eV per atom
Energy of formation from the pure elements   758 meV/atom
Calculated density   9.329 g cm⁻³
Total energy   -13.6 eV per formula unit


Below is a geometry-optimized NbTc2Ge2 structure, with properties calculated at the GGA-PBE level.

```
NbTc2Ge2
1.0
7.126 0.000 0.000
0.000 7.126 0.000
0.000 0.000 3.042
Nb Tc Ge
2 4 4
Direct
0.000 0.000 0.000
0.500 0.500 0.000
0.149 0.351 0.500
0.351 0.851 0.500
0.649 0.149 0.500
0.851 0.649 0.500
0.147 0.647 0.000
0.353 0.147 0.000
0.647 0.853 0.000
0.853 0.353 0.000
```

Summary:
Space-group type   No. 127
Total magnetization   0.00 μB/atom
Fermi-level density of states   3.653 states/eV/f.u.
Distance to the lowest polymorph of the same formula   0.000 eV per atom
Energy of formation from the pure elements   -124 meV/atom
Calculated density   9.334 g cm⁻³
Total energy   -40.7 eV per formula unit


Below is a geometry-optimized Ba4Mg2Cd structure, with properties calculated at the GGA-PBE level.

```
Ba4Mg2Cd
1.0
-4.341 4.341 4.288
4.341 -4.341 4.288
4.341 4.341 -4.288
Ba Mg Cd
4 2 1
Direct
0.000 0.000 0.500
0.000 0.500 0.000
0.500 0.000 0.000
0.500 0.500 0.500
0.000 0.500 0.500
0.500 0.000 0.500
0.000 0.000 0.000
```

Summary:
Space-group type   No. 139
Total magnetization   0.00 μB/atom
Fermi-level density of states   8.726 states/eV/f.u.
Energy of formation from the pure elements   -58 meV/atom
Calculated density   3.649 g cm⁻³
Total energy   -12.2 eV per formula unit


Below is a geometry-optimized MnCd2As structure, with properties calculated at the GGA-PBE level.

```
MnCd2As
1.0
3.050 0.000 0.000
0.000 5.468 0.000
-0.248 0.000 4.825
Mn Cd As
1 2 1
Direct
0.000 0.000 0.000
0.261 0.500 0.247
0.739 0.500 0.753
0.500 0.000 0.500
```

Summary:
Space-group type   No. 10
Total magnetization   1.04 μB/atom
Fermi-level density of states   2.785 states/eV/f.u.
Energy of formation from the pure elements   237 meV/atom
Calculated density   7.320 g cm⁻³
Total energy   -14.7 eV per formula unit


Below is a geometry-optimized Mo2H3Ru2 structure, with properties calculated at the GGA-PBE level.

```
Mo2H3Ru2
1.0
4.718 -1.426 0.000
4.718 1.426 0.000
-0.930 0.000 4.846
Mo H Ru
2 3 2
Direct
0.122 0.122 0.351
0.878 0.878 0.649
0.240 0.240 0.746
0.500 0.500 0.500
0.760 0.760 0.254
0.380 0.380 0.131
0.620 0.620 0.869
```

Summary:
Space-group type   No. 12
Total magnetization   0.00 μB/atom
Fermi-level density of states   3.584 states/eV/f.u.
Calculated density   10.112 g cm⁻³
Total energy   -50.3 eV per formula unit


Below is a geometry-optimized HoSc2Hg6 structure, with properties calculated at the GGA-PBE level.

```
HoSc2Hg6
1.0
2.644 -8.595 0.000
2.644 8.595 0.000
-2.584 0.000 4.608
Ho Sc Hg
1 2 6
Direct
0.000 0.000 0.000
0.171 0.829 0.500
0.829 0.171 0.500
0.167 0.503 0.169
0.331 0.331 0.665
0.497 0.833 0.831
0.503 0.167 0.169
0.669 0.669 0.335
0.833 0.497 0.831
```

Summary:
Space-group type   No. 12
Total magnetization   0.00 μB/atom
Fermi-level density of states   4.509 states/eV/f.u.
Energy of formation from the pure elements   -287 meV/atom
Calculated density   11.560 g cm⁻³
Total energy   -21.6 eV per formula unit


Below is a geometry-optimized LiLaP2 structure, with properties calculated at the GGA-PBE level.

```
LiLaP2
1.0
-2.069 2.069 4.772
2.069 -2.069 4.772
2.069 2.069 -4.772
Li La P
1 1 2
Direct
0.000 0.000 0.000
0.750 0.250 0.500
0.250 0.750 0.500
0.500 0.500 0.000
```

Summary:
Space-group type   No. 119
Total magnetization   0.00 μB/atom
Fermi-level density of states   1.517 states/eV/f.u.
Distance to the lowest polymorph of the same formula   0.317 eV per atom
Energy of formation from the pure elements   -595 meV/atom
Calculated density   4.221 g cm⁻³
Total energy   -20.0 eV per formula unit


Below is a geometry-optimized Zn2BAs structure, with properties calculated at the GGA-PBE level.

```
Zn2BAs
1.0
-2.686 2.686 5.079
2.686 -2.686 5.079
2.686 2.686 -5.079
Zn B As
4 2 2
Direct
0.064 0.625 0.939
0.375 0.314 0.439
0.686 0.125 0.061
0.875 0.936 0.561
0.000 0.000 0.000
0.750 0.250 0.500
0.250 0.750 0.500
0.500 0.500 0.000
```

Summary:
Space-group type   No. 122
Total magnetization   0.00 μB/atom
Fermi-level density of states   2.332 states/eV/f.u.
Distance to the lowest polymorph of the same formula   0.000 eV per atom
Energy of formation from the pure elements   740 meV/atom
Calculated density   4.905 g cm⁻³
Total energy   -10.9 eV per formula unit


Below is a geometry-optimized NbZnS2 structure, with properties calculated at the GGA-PBE level.

```
NbZnS2
1.0
-2.891 2.891 4.939
2.891 -2.891 4.939
2.891 2.891 -4.939
Nb Zn S
2 2 4
Direct
0.000 0.000 0.000
0.750 0.250 0.500
0.250 0.750 0.500
0.500 0.500 0.000
0.136 0.625 0.011
0.375 0.386 0.511
0.614 0.125 0.989
0.875 0.864 0.489
```

Summary:
Space-group type   No. 122
Total magnetization   0.06 μB/atom
Fermi-level density of states   3.413 states/eV/f.u.
Calculated density   4.475 g cm⁻³
E_form (uncorrected)   -0.34 eV/atom
Total energy   -21.0 eV per formula unit


Below is a geometry-optimized CdNi2BPt structure, with properties calculated at the GGA-PBE level.

```
CdNi2BPt
1.0
3.989 0.000 0.000
0.000 3.989 0.000
0.000 0.000 4.141
Cd Ni B Pt
1 2 1 1
Direct
0.000 0.000 0.000
0.000 0.500 0.500
0.500 0.000 0.500
0.500 0.500 0.500
0.500 0.500 0.000
```

Summary:
Space-group type   No. 123
Total magnetization   0.00 μB/atom
Fermi-level density of states   2.834 states/eV/f.u.
Distance to the lowest polymorph of the same formula   0.000 eV per atom
Energy of formation from the pure elements   -180 meV/atom
Calculated density   10.981 g cm⁻³
Total energy   -26.1 eV per formula unit


Below is a geometry-optimized Sr4Ce3UN8 structure, with properties calculated at the GGA-PBE level.

```
Sr4Ce3UN8
1.0
3.634 2.098 5.988
-3.634 2.098 5.988
0.000 -4.196 5.988
Sr Ce U N
4 3 1 8
Direct
0.000 0.000 0.000
0.000 0.500 0.500
0.500 0.000 0.500
0.500 0.500 0.000
0.000 0.000 0.500
0.000 0.500 0.000
0.500 0.000 0.000
0.500 0.500 0.500
0.234 0.234 0.234
0.255 0.723 0.723
0.277 0.277 0.745
0.277 0.745 0.277
0.723 0.255 0.723
0.723 0.723 0.255
0.745 0.277 0.277
0.766 0.766 0.766
```

Summary:
Space-group type   No. 166
Total magnetization   0.12 μB/atom
Fermi-level density of states   8.542 states/eV/f.u.
Calculated density   6.795 g cm⁻³
E_form (uncorrected)   -1.21 eV/atom
Total energy   -121.8 eV per formula unit


Below is a geometry-optimized Ba2BiPPd structure, with properties calculated at the GGA-PBE level.

```
Ba2BiPPd
1.0
6.360 0.000 0.000
0.000 6.360 0.000
0.000 0.000 4.416
Ba Bi P Pd
2 1 1 1
Direct
0.000 0.500 0.000
0.500 0.000 0.000
0.000 0.000 0.500
0.500 0.500 0.000
0.500 0.500 0.500
```

Summary:
Space-group type   No. 123
Total magnetization   0.00 μB/atom
Fermi-level density of states   5.766 states/eV/f.u.
Distance to the lowest polymorph of the same formula   0.000 eV per atom
Energy of formation from the pure elements   -700 meV/atom
Calculated density   5.774 g cm⁻³
Total energy   -21.8 eV per formula unit


Below is a geometry-optimized NpMn2B6 structure, with properties calculated at the GGA-PBE level.

```
NpMn2B6
1.0
4.560 -2.596 0.000
4.560 2.596 0.000
-0.617 0.000 3.535
Np Mn B
1 2 6
Direct
0.000 0.000 0.000
0.360 0.360 0.920
0.640 0.640 0.080
0.016 0.638 0.418
0.339 0.661 0.500
0.362 0.984 0.582
0.638 0.016 0.418
0.661 0.339 0.500
0.984 0.362 0.582
```

Summary:
Space-group type   No. 12
Total magnetization   0.09 μB/atom
Fermi-level density of states   5.524 states/eV/f.u.
Energy of formation from the pure elements   -153 meV/atom
Calculated density   8.169 g cm⁻³
Total energy   -72.7 eV per formula unit